#i
A plane-wave DFT calculation with GGA-PBE was carried out for a relaxed structure of Pr3Th2.

* magnetization: 0.000 μB/f.u.
* calculated density: 8.4 g/cm³

Cell lengths 3.531, 5.681, 9.171 Å; angles 108.04, 90.00, 90.00 degrees
Fractional positions:
Th1 0.500 0.294 0.588
Pr1 0.500 0.500 0.000
Pr2 0.000 0.895 0.790
Th2 0.500 0.706 0.412
Pr3 0.000 0.105 0.210

#ii
A plane-wave DFT calculation with GGA-PBE was carried out for a relaxed structure of Pr3Th2.

* magnetization: 0.000 μB/f.u.
* calculated density: 8.5 g/cm³

Cell lengths 3.643, 3.643, 15.130 Å; angles 83.08, 83.08, 60.00 degrees
Fractional positions:
Pr1 0.903 0.903 0.292
Pr2 0.097 0.097 0.708
Th1 0.698 0.698 0.906
Th2 0.302 0.302 0.094
Pr3 0.500 0.500 0.500

Which structure is most stable? #ii, by 0.095 eV/atom over the runner-up.

#i
A plane-wave DFT calculation with GGA-PBE was carried out for a relaxed structure of PrTh4.

* magnetization: 0.000 μB/f.u.
* calculated density: 10.7 g/cm³

Cell lengths 3.575, 3.579, 15.508 Å; angles 76.64, 90.00, 119.96 degrees
Fractional positions:
Th1 0.465 0.930 0.795
Th2 0.736 0.473 0.401
Th3 0.264 0.527 0.599
Pr1 0.000 0.000 0.000
Th4 0.535 0.070 0.205

#ii
A plane-wave DFT calculation with GGA-PBE was carried out for a relaxed structure of PrTh4.

* magnetization: 0.000 μB/f.u.
* calculated density: 9.4 g/cm³

Cell lengths 5.742, 5.742, 5.742 Å; angles 90.00, 90.00, 90.00 degrees
Fractional positions:
Th1 0.500 0.000 0.500
Th2 0.500 0.500 0.000
Pr1 0.500 0.500 0.500
Th3 0.000 0.000 0.000
Th4 0.000 0.500 0.500

Which structure is most stable? #i, by 0.922 eV/atom over the runner-up.

#i
A plane-wave DFT calculation with GGA-PBE was carried out for a relaxed structure of PrTh2.

* magnetization: 0.000 μB/f.u.
* calculated density: 9.9 g/cm³

Cell lengths 3.596, 6.980, 9.598 Å; angles 84.46, 100.80, 121.01 degrees
Fractional positions:
Pr1 0.470 0.750 0.941
Th1 0.855 0.250 0.711
Th2 0.196 0.250 0.392
Pr2 0.530 0.250 0.059
Th3 0.145 0.750 0.289
Th4 0.804 0.750 0.608

#ii
A plane-wave DFT calculation with GGA-PBE was carried out for a relaxed structure of PrTh2.

* magnetization: 0.000 μB/f.u.
* calculated density: 9.5 g/cm³

Cell lengths 6.694, 6.694, 6.694 Å; angles 60.00, 60.00, 60.00 degrees
Fractional positions:
Th1 0.625 0.625 0.125
Th2 0.625 0.625 0.625
Pr1 0.000 0.000 0.000
Th3 0.625 0.125 0.625
Th4 0.125 0.625 0.625
Pr2 0.250 0.250 0.250

#iii
A plane-wave DFT calculation with GGA-PBE was carried out for a relaxed structure of PrTh2.

* magnetization: 0.000 μB/f.u.
* calculated density: 10.0 g/cm³

Cell lengths 3.617, 3.617, 8.089 Å; angles 102.92, 102.92, 90.00 degrees
Fractional positions:
Pr1 0.000 0.000 0.000
Th1 0.329 0.329 0.657
Th2 0.671 0.671 0.343

Which structure is most stable? #iii, by 0.011 eV/atom over the runner-up.

#i
A plane-wave DFT calculation with GGA-PBE was carried out for a relaxed structure of Pr4Th.

* magnetization: 0.001 μB/f.u.
* calculated density: 6.1 g/cm³

Cell lengths 6.006, 6.006, 6.006 Å; angles 90.00, 90.00, 90.00 degrees
Fractional positions:
Pr1 0.500 0.500 0.000
Pr2 0.500 0.000 0.500
Pr3 0.000 0.000 0.000
Pr4 0.000 0.500 0.500
Th1 0.500 0.500 0.500

#ii
A plane-wave DFT calculation with GGA-PBE was carried out for a relaxed structure of Pr4Th.

* magnetization: 0.000 μB/f.u.
* calculated density: 7.5 g/cm³

Cell lengths 3.682, 3.682, 15.234 Å; angles 83.06, 83.06, 60.00 degrees
Fractional positions:
Pr1 0.200 0.200 0.401
Pr2 0.397 0.397 0.809
Pr3 0.800 0.800 0.599
Pr4 0.603 0.603 0.191
Th1 0.000 0.000 0.000

Which structure is most stable? #ii, by 0.662 eV/atom over the runner-up.

#i
A plane-wave DFT calculation with GGA-PBE was carried out for a relaxed structure of PrThTl.

* magnetization: 0.000 μB/f.u.
* calculated density: 9.7 g/cm³

Cell lengths 4.743, 4.743, 9.384 Å; angles 104.64, 104.64, 90.00 degrees
Fractional positions:
Th1 0.000 0.500 0.000
Pr1 0.822 0.822 0.644
Pr2 0.178 0.178 0.356
Tl1 0.362 0.362 0.725
Th2 0.500 0.000 0.000
Tl2 0.638 0.638 0.275

#ii
A plane-wave DFT calculation with GGA-PBE was carried out for a relaxed structure of PrThTl.

* magnetization: 0.002 μB/f.u.
* calculated density: 10.0 g/cm³

Cell lengths 3.666, 5.484, 5.484 Å; angles 120.00, 90.00, 90.00 degrees
Fractional positions:
Tl1 0.678 0.667 0.333
Pr1 0.385 0.333 0.667
Th1 0.937 0.000 0.000

Which structure is most stable? #i, by 0.212 eV/atom over the runner-up.

#i
A plane-wave DFT calculation with GGA-PBE was carried out for a relaxed structure of PrThTl.

* magnetization: 0.000 μB/f.u.
* calculated density: 9.7 g/cm³

Cell lengths 5.445, 5.445, 8.330 Å; angles 70.92, 70.92, 60.00 degrees
Fractional positions:
Pr1 0.127 0.127 0.618
Tl1 0.567 0.567 0.299
Tl2 0.433 0.433 0.701
Th1 0.293 0.293 0.120
Pr2 0.873 0.873 0.382
Th2 0.707 0.707 0.880

#ii
A plane-wave DFT calculation with GGA-PBE was carried out for a relaxed structure of PrThTl.

* magnetization: 0.000 μB/f.u.
* calculated density: 10.1 g/cm³

Cell lengths 3.553, 3.553, 7.922 Å; angles 102.96, 102.96, 90.00 degrees
Fractional positions:
Tl1 0.950 0.950 0.900
Pr1 0.607 0.607 0.215
Th1 0.293 0.293 0.585

Which structure is most stable? #ii, by 0.133 eV/atom over the runner-up.

#i
A plane-wave DFT calculation with GGA-PBE was carried out for a relaxed structure of PrTmTh2.

* magnetization: 0.000 μB/f.u.
* calculated density: 9.9 g/cm³

Cell lengths 3.575, 3.575, 11.941 Å; angles 81.39, 81.39, 60.00 degrees
Fractional positions:
Th1 0.253 0.253 0.242
Tm1 0.668 0.668 0.996
Pr1 0.498 0.498 0.505
Th2 0.081 0.081 0.756

#ii
A plane-wave DFT calculation with GGA-PBE was carried out for a relaxed structure of PrTmTh2.

* magnetization: 0.000 μB/f.u.
* calculated density: 9.8 g/cm³

Cell lengths 5.043, 5.087, 11.370 Å; angles 90.00, 116.25, 90.00 degrees
Fractional positions:
Pr1 0.867 0.750 0.368
Tm1 0.633 0.750 0.632
Th1 0.378 0.750 0.878
Pr2 0.133 0.250 0.632
Th2 0.880 0.250 0.880
Th3 0.120 0.750 0.120
Th4 0.622 0.250 0.122
Tm2 0.367 0.250 0.368

Which structure is most stable? #ii, by 0.023 eV/atom over the runner-up.

#i
A plane-wave DFT calculation with GGA-PBE was carried out for a relaxed structure of PrTmTh2.

* magnetization: 0.000 μB/f.u.
* calculated density: 9.8 g/cm³

Cell lengths 3.562, 3.562, 10.289 Å; angles 90.00, 90.00, 90.00 degrees
Fractional positions:
Tm1 0.500 0.500 0.000
Th1 0.000 0.000 0.758
Pr1 0.500 0.500 0.500
Th2 0.000 0.000 0.242

#ii
A plane-wave DFT calculation with GGA-PBE was carried out for a relaxed structure of PrTmTh2.

* magnetization: 0.000 μB/f.u.
* calculated density: 9.7 g/cm³

Cell lengths 3.500, 3.500, 12.621 Å; angles 82.03, 82.03, 60.00 degrees
Fractional positions:
Th1 0.911 0.911 0.267
Th2 0.089 0.089 0.733
Pr1 0.000 0.000 0.000
Tm1 0.500 0.500 0.500

Which structure is most stable? #i, by 0.106 eV/atom over the runner-up.

#i
A plane-wave DFT calculation with GGA-PBE was carried out for a relaxed structure of Pr2Tm8Th.

* magnetization: 0.000 μB/f.u.
* calculated density: 9.0 g/cm³

Cell lengths 5.017, 7.913, 9.370 Å; angles 104.61, 105.53, 90.00 degrees
Fractional positions:
Tm1 0.044 0.731 0.087
Tm2 0.679 0.907 0.359
Tm3 0.321 0.093 0.641
Tm4 0.866 0.825 0.732
Pr1 0.228 0.636 0.455
Tm5 0.134 0.175 0.268
Th1 0.500 0.000 0.000
Pr2 0.772 0.364 0.545
Tm6 0.956 0.269 0.913
Tm7 0.411 0.549 0.823
Tm8 0.589 0.451 0.177

#ii
A plane-wave DFT calculation with GGA-PBE was carried out for a relaxed structure of Pr2Tm8Th.

* magnetization: 0.000 μB/f.u.
* calculated density: 8.8 g/cm³

Cell lengths 5.775, 8.902, 9.087 Å; angles 60.67, 75.86, 60.09 degrees
Fractional positions:
Th1 0.500 0.000 0.000
Tm1 0.835 0.096 0.225
Tm2 0.165 0.679 0.225
Tm3 0.500 0.211 0.577
Tm4 0.703 0.576 0.000
Pr1 0.000 0.306 0.389
Tm5 0.165 0.904 0.775
Pr2 0.000 0.694 0.611
Tm6 0.835 0.321 0.775
Tm7 0.297 0.424 0.000
Tm8 0.500 0.789 0.423

Which structure is most stable? #i, by 0.152 eV/atom over the runner-up.

#i
A plane-wave DFT calculation with GGA-PBE was carried out for a relaxed structure of Pr4Tm7Th.

* magnetization: 0.001 μB/f.u.
* calculated density: 8.1 g/cm³

Cell lengths 5.941, 11.640, 6.770 Å; angles 83.73, 63.98, 75.22 degrees
Fractional positions:
Tm1 0.500 0.000 0.000
Tm2 0.787 0.924 0.503
Tm3 0.932 0.314 0.822
Tm4 0.068 0.686 0.178
Pr1 0.639 0.222 0.501
Pr2 0.776 0.664 0.783
Pr3 0.224 0.336 0.217
Tm5 0.632 0.505 0.231
Pr4 0.361 0.778 0.499
Th1 0.000 0.000 0.000
Tm6 0.213 0.076 0.497
Tm7 0.368 0.495 0.769

#ii
A plane-wave DFT calculation with GGA-PBE was carried out for a relaxed structure of Pr4Tm7Th.

* magnetization: 0.000 μB/f.u.
* calculated density: 8.5 g/cm³

Cell lengths 7.114, 7.983, 11.755 Å; angles 62.07, 41.52, 63.44 degrees
Fractional positions:
Pr1 0.742 0.831 0.671
Tm1 0.754 0.163 0.328
Tm2 0.247 0.504 0.001
Tm3 0.753 0.496 0.999
Tm4 0.002 0.673 0.328
Th1 0.000 0.000 0.000
Pr2 0.508 0.668 0.330
Tm5 0.500 0.000 0.000
Pr3 0.492 0.332 0.670
Pr4 0.258 0.169 0.329
Tm6 0.998 0.327 0.672
Tm7 0.246 0.837 0.672

Which structure is most stable? #ii, by 0.266 eV/atom over the runner-up.

#i
A plane-wave DFT calculation with GGA-PBE was carried out for a relaxed structure of PrTm2Th2.

* magnetization: 0.000 μB/f.u.
* calculated density: 9.8 g/cm³

Cell lengths 3.580, 3.580, 14.608 Å; angles 82.96, 82.96, 60.00 degrees
Fractional positions:
Th1 0.801 0.801 0.598
Th2 0.199 0.199 0.402
Tm1 0.401 0.401 0.796
Tm2 0.599 0.599 0.204
Pr1 0.000 0.000 0.000

#ii
A plane-wave DFT calculation with GGA-PBE was carried out for a relaxed structure of PrTm2Th2.

* magnetization: 0.000 μB/f.u.
* calculated density: 9.7 g/cm³

Cell lengths 3.565, 3.565, 14.606 Å; angles 90.00, 90.00, 120.00 degrees
Fractional positions:
Th1 0.667 0.333 0.099
Tm1 0.667 0.333 0.701
Th2 0.333 0.667 0.901
Pr1 0.000 0.000 0.500
Tm2 0.333 0.667 0.299

Which structure is most stable? #i, by 0.016 eV/atom over the runner-up.

#i
A plane-wave DFT calculation with GGA-PBE was carried out for a relaxed structure of Pr3Tm4Th.

* magnetization: 0.000 μB/f.u.
* calculated density: 8.4 g/cm³

Cell lengths 6.277, 7.233, 11.580 Å; angles 90.00, 90.00, 90.00 degrees
Fractional positions:
Pr1 0.978 0.626 0.247
Pr2 0.139 0.378 0.500
Pr3 0.478 0.374 0.253
Pr4 0.978 0.626 0.753
Th1 0.652 0.632 0.500
Tm1 0.147 0.881 0.000
Th2 0.152 0.368 0.000
Pr5 0.478 0.374 0.747
Tm2 0.985 0.122 0.752
Tm3 0.485 0.878 0.748
Pr6 0.639 0.622 0.000
Tm4 0.485 0.878 0.252
Tm5 0.151 0.875 0.500
Tm6 0.985 0.122 0.248
Tm7 0.647 0.119 0.500
Tm8 0.651 0.125 0.000

#ii
A plane-wave DFT calculation with GGA-PBE was carried out for a relaxed structure of Pr3Tm4Th.

* magnetization: 0.000 μB/f.u.
* calculated density: 8.4 g/cm³

Cell lengths 3.426, 8.968, 8.968 Å; angles 81.13, 78.99, 78.99 degrees
Fractional positions:
Pr1 0.232 0.768 0.768
Tm1 0.634 0.118 0.615
Tm2 0.366 0.385 0.882
Pr2 0.000 0.500 0.500
Th1 0.500 0.000 0.000
Tm3 0.366 0.882 0.385
Tm4 0.634 0.615 0.118
Pr3 0.768 0.232 0.232

Which structure is most stable? #i, by 0.104 eV/atom over the runner-up.

#i
A plane-wave DFT calculation with GGA-PBE was carried out for a relaxed structure of Pr4TmTh.

* magnetization: 0.000 μB/f.u.
* calculated density: 7.7 g/cm³

Cell lengths 3.647, 9.658, 12.164 Å; angles 148.73, 90.33, 100.74 degrees
Fractional positions:
Th1 0.000 0.000 0.000
Tm1 0.500 0.000 0.500
Pr1 0.170 0.340 0.506
Pr2 0.669 0.337 0.008
Pr3 0.830 0.660 0.494
Pr4 0.331 0.663 0.992

#ii
A plane-wave DFT calculation with GGA-PBE was carried out for a relaxed structure of Pr4TmTh.

* magnetization: 0.000 μB/f.u.
* calculated density: 7.6 g/cm³

Cell lengths 3.488, 6.132, 10.429 Å; angles 86.29, 80.37, 73.47 degrees
Fractional positions:
Pr1 0.661 0.521 0.157
Tm1 0.000 0.000 0.000
Th1 0.500 0.500 0.500
Pr2 0.848 0.962 0.341
Pr3 0.339 0.479 0.843
Pr4 0.152 0.038 0.659

Which structure is most stable? #i, by 0.158 eV/atom over the runner-up.